Material: In3GaHg6
Method: DFT, GGA-PBE
State: relaxed

## Properties
Spin magnetization, μB/f.u.: 0.0
DOS at the Fermi energy, states/eV per atom: 0.190
Calculated formation energy, eV per atom: 0.02
Space group: P-3m1, No. 164

Cell: 3.8373 3.8373 20.8539 Å, 90.00 90.00 120.00°
Element x y z (fractional)
In  0.0000  0.0000  0.0000
In  0.0000  0.0000  0.3071
In  0.0000  0.0000  0.6929
Ga  0.0000  0.0000  0.5000
Hg  0.3333  0.6667  0.1033
Hg  0.3333  0.6667  0.4117
Hg  0.3333  0.6667  0.7957
Hg  0.6667  0.3333  0.2043
Hg  0.6667  0.3333  0.5883
Hg  0.6667  0.3333  0.8967